{
  "formula": "Ba2NiAgO4",
  "functional": "PBE+U",
  "state": "optimized geometry",
  "lattice": [[-2.6905, 0.6543, 4.8120], [-3.4978, -0.9849, -4.1973], [3.3799, -4.4029, 0.1130]],
  "species": ["Ba", "O", "Ni", "O", "O", "Ag", "Ba", "O"],
  "frac_coords": [[0.0000, 0.0000, 0.0000], [0.9130, 0.4816, 0.0439], [0.5000, 0.2500, 0.7500], [0.5624, 0.4314, 0.5184], [0.0870, 0.1310, 0.5686], [0.0000, 0.5000, 0.5000], [0.5000, 0.7500, 0.2500], [0.4376, 0.9561, 0.8690]],
  "final_energy_ev_per_cell": -39.5,
  "sg": "I-4",
  "n_ef_per_ev_cell": 4.91
}